# 1
First-principles (PBE) data for an optimized crystal structure of RbBiH, as listed in the Alexandria database.

Calculated values
DOS at the Fermi energy (states/eV per atom): 0.316
Size of the total moment (μB per cell): 0.00
Excess energy over the best structure of this formula in the dataset (eV per formula unit): 0.00

abc: 5.4443 5.5539 5.5931
angles: 90.00 90.00 90.00
Closest atoms and distances in Å follow each position.
Space group Pmma (No. 51)
One atom of each set of equivalent atoms:
Rb: 0.2500 0.0000 0.2306 x2  4 H 3.35, 2 Rb 3.75
Bi: 0.2500 0.5000 0.7023 x2  2 H 2.15
H: 0.0000 0.5000 0.0000 x2  2 Bi 2.15

***

# 2
First-principles (PBE) data for an optimized crystal structure of UIn6Br12, as listed in the Alexandria database.

Calculated values
DOS at the Fermi energy (states/eV per atom): 1.144
Size of the total moment (μB per cell): 3.46
Raw formation energy (eV/atom): -0.81

abc: 14.0128 14.0128 13.0506
angles: 90.00 90.00 120.00
Closest atoms and distances in Å follow each position.
Space group R-3 (No. 148, hexagonal axes)
One atom of each set of equivalent atoms:
U: 0.0000 0.0000 0.0000 x3  6 Br 2.71
In: 0.0346 0.2494 0.6223 x18  4 Br 3.01-3.34
Br: 0.0318 0.2094 0.3856 x18  4 In 3.01-3.34
Br: 0.0443 0.1776 0.8832 x18  1 U 2.71